# 1
DFT (PBE) results for a relaxed structure of LiInCo.

a b c (Å): 4.282 4.282 5.755
angles (deg): 90.00 90.00 120.00
Last column: magnetic moment on the atom in μB.
Fractional coordinates of all 6 atoms:
In (0.000, 0.000, 0.244)  -0.03
In (0.000, 0.000, 0.756)  -0.03
Li (0.667, 0.333, 0.516)  0.01
Li (0.333, 0.667, 0.484)  0.01
Co (0.667, 0.333, 0.008)  1.56
Co (0.333, 0.667, 0.992)  1.56

Summary:
Density = 6.566 g/cm3
DOS at the Fermi energy = 1.88 states/eV/f.u.
Calculated formation energy = -0.008 eV/atom

---

# 2
DFT (PBE) results for a relaxed structure of Nd5SbPd2.

a b c (Å): 8.137 8.137 8.943
angles (deg): 117.06 117.06 90.00
Fractional coordinates of all 16 atoms:
Nd (0.515, 0.701, 0.715)
Nd (0.799, 0.985, 0.285)
Nd (0.000, 0.000, 0.000)
Nd (0.500, 0.500, 0.000)
Nd (0.201, 0.015, 0.715)
Nd (0.701, 0.201, 0.715)
Nd (0.015, 0.515, 0.715)
Nd (0.299, 0.799, 0.285)
Nd (0.985, 0.485, 0.285)
Nd (0.485, 0.299, 0.285)
Sb (0.750, 0.750, 0.500)
Sb (0.250, 0.250, 0.500)
Pd (0.133, 0.367, 0.000)
Pd (0.633, 0.133, 0.000)
Pd (0.367, 0.867, 0.000)
Pd (0.867, 0.633, 0.000)

Summary:
Density = 7.736 g/cm3
E_form (uncorrected) = -0.69 eV/atom
DOS at the Fermi energy = 8.13 states/eV/f.u.

---

no.,V (Å³/cell)
1,91.4
2,453.3